Model w:
Zr3TlIn: optimized geometry, GGA-PBE.

```
Zr3TlIn
1.0
5.679 0.005 0.003
-0.002 4.884 -2.711
-0.010 0.920 7.954
Zr In Tl
6 2 2
Cartesian
2.840 0.002 0.002
1.411 3.918 2.768
4.258 3.642 -0.015
0.000 0.000 0.000
4.256 1.891 2.478
1.410 2.167 5.261
4.249 3.157 5.277
1.419 2.652 -0.030
1.418 0.685 2.686
4.250 5.124 2.560
```

---

Model x:
Zr3TlIn: optimized geometry, GGA-PBE.

```
Zr3TlIn
1.0
-2.256 -2.293 -9.574
3.099 -6.463 -3.349
-5.783 -5.166 -1.566
Zr In Tl
12 4 4
Cartesian
-1.216 -4.759 -10.131
-2.937 -3.197 -4.772
-4.319 -4.429 -1.933
-1.893 -4.893 -7.189
-3.048 -9.028 -7.301
-5.681 -7.442 -6.528
-0.622 -9.492 -12.556
-2.004 -10.724 -9.717
0.740 -6.479 -7.962
-3.678 -10.247 -12.188
-3.725 -9.162 -4.359
-1.263 -3.674 -2.302
-1.693 -7.730 -9.907
-3.248 -6.191 -4.582
1.274 -8.163 -10.503
-6.215 -5.758 -3.987
-0.087 -5.225 -4.700
-4.266 -5.925 -8.874
-0.675 -7.996 -5.615
-4.854 -8.696 -9.790
```

---

Going by the energies, model w is most stable and the next is 8 meV/atom up.

---

Model w:
Zr2Tl2In: optimized geometry, GGA-PBE.

```
Zr2Tl2In
1.0
-4.011 4.537 -5.646
-0.386 -6.578 -5.013
-3.193 -0.956 1.500
In Tl Zr
2 4 4
Cartesian
-2.198 -1.020 -5.329
0.000 0.000 0.000
-4.617 -2.858 -7.195
-5.037 1.125 -5.552
-2.973 -0.139 -1.963
-2.553 -4.121 -3.606
-2.572 2.006 -4.196
-0.660 -1.857 -2.588
-1.824 -4.046 -6.462
-3.736 -0.184 -8.071
```

---

Model x:
Zr2Tl2In: optimized geometry, GGA-PBE.

```
Zr2Tl2In
1.0
4.129 0.000 0.000
0.000 4.129 0.000
2.065 2.065 7.859
Zr In Tl
2 1 2
Cartesian
4.129 2.065 3.930
2.065 4.129 3.930
0.000 0.000 0.000
2.065 2.065 1.528
4.129 4.129 6.331
```

---

Going by the energies, model w is most stable and the next is 281 meV/atom up.

---

Model w:
ZrTl2In2: optimized geometry, GGA-PBE.

```
ZrTl2In2
1.0
8.130 0.000 0.000
0.000 8.130 0.000
0.000 0.000 3.942
In Tl Zr
4 4 2
Cartesian
7.036 5.158 0.000
2.971 7.036 0.000
5.158 1.094 0.000
1.094 2.971 0.000
2.689 1.376 1.971
1.376 5.441 1.971
6.754 2.689 1.971
5.441 6.754 1.971
4.065 4.065 0.000
0.000 0.000 0.000
```

---

Model x:
ZrTl2In2: optimized geometry, GGA-PBE.

```
ZrTl2In2
1.0
-3.225 1.157 -2.241
-2.062 -3.304 1.262
-5.555 3.183 5.898
Zr Tl In
1 2 2
Cartesian
0.000 0.000 0.000
-3.175 -0.298 0.675
-7.668 1.334 4.244
-5.131 -0.597 3.335
-5.712 1.633 1.583
```

---

Model y:
ZrTl2In2: optimized geometry, GGA-PBE.

```
ZrTl2In2
1.0
-7.220 2.305 -2.987
-3.118 -0.014 7.526
1.024 3.767 0.431
Tl In Zr
4 4 2
Cartesian
-5.239 0.808 5.379
-5.099 1.482 -0.839
-8.188 1.964 2.291
-2.150 0.327 2.249
-6.628 3.818 0.272
-2.686 2.240 4.699
-2.448 2.669 0.389
-6.866 3.390 4.582
-5.169 1.145 2.270
0.000 0.000 0.000
```

---

Going by the energies, model w is most stable and the next is 15 meV/atom up.